A plane-wave DFT calculation with GGA-PBE was carried out for crystalline CaTaAl2 at its relaxed geometry.

Properties
**Offset from the most stable computed form**: 0.2726 eV/atom
**Symmetry**: Imm2, No. 44
**Fermi-level density of states**: 2.2 states/eV per cell

abc: 5.8790 5.8790 5.8790
angles: 149.38 129.88 59.88
Atoms (fractional coordinates):
Al 0.7713 0.2713 0.5000
Al 0.9936 0.9936 0.0000
Ca 0.5058 0.5058 0.0000
Ta 0.2293 0.7293 0.5000